Run 1
Below is a relaxed structure of HgGeTeO, with properties calculated at the PBE-GGA level.

a = 4.311 Å, b = 4.311 Å, c = 8.821 Å
α = 90.00°, β = 90.00°, γ = 90.00°
Atoms (fractional coordinates):
Ge: 0.250 0.250 0.491
Ge: 0.750 0.750 0.509
Hg: 0.750 0.750 0.186
Hg: 0.250 0.250 0.814
O: 0.750 0.250 0.500
O: 0.250 0.750 0.500
Te: 0.250 0.250 0.172
Te: 0.750 0.750 0.828

Calculated volume   82 Å³/f.u.

---

Run 2
Below is a relaxed structure of HgGeTeO, with properties calculated at the PBE-GGA level.

a = 6.006 Å, b = 9.302 Å, c = 13.500 Å
α = 90.00°, β = 90.00°, γ = 90.00°
Atoms (fractional coordinates):
Ge: 0.242 0.246 0.238
Ge: 0.258 0.746 0.238
Ge: 0.742 0.246 0.262
Ge: 0.758 0.746 0.262
Ge: 0.242 0.254 0.738
Ge: 0.258 0.754 0.738
Ge: 0.742 0.254 0.762
Ge: 0.758 0.754 0.762
Hg: 0.239 0.353 0.055
Hg: 0.261 0.853 0.055
Hg: 0.739 0.353 0.445
Hg: 0.761 0.853 0.445
Hg: 0.239 0.147 0.555
Hg: 0.261 0.647 0.555
Hg: 0.739 0.147 0.945
Hg: 0.761 0.647 0.945
O: 0.492 0.131 0.249
O: 0.008 0.631 0.249
O: 0.992 0.131 0.251
O: 0.508 0.631 0.251
O: 0.492 0.369 0.749
O: 0.008 0.869 0.749
O: 0.992 0.369 0.751
O: 0.508 0.869 0.751
Te: 0.741 0.395 0.079
Te: 0.759 0.895 0.079
Te: 0.241 0.395 0.421
Te: 0.259 0.895 0.421
Te: 0.741 0.105 0.579
Te: 0.759 0.605 0.579
Te: 0.241 0.105 0.921
Te: 0.259 0.605 0.921

Calculated volume   94 Å³/f.u.

---

Relative energies, kJ/mol of atoms: run 1 11.3; run 2 0.0.

---

Run 1
Below is a relaxed structure of RbHgGe, with properties calculated at the PBE-GGA level.

a = 5.286 Å, b = 5.286 Å, c = 5.286 Å
α = 60.00°, β = 60.00°, γ = 60.00°
Atoms (fractional coordinates):
Ge: 0.000 0.000 0.000
Hg: 0.250 0.250 0.250
Rb: 0.750 0.750 0.750

Calculated volume   104 Å³/f.u.

---

Run 2
Below is a relaxed structure of RbHgGe, with properties calculated at the PBE-GGA level.

a = 5.585 Å, b = 5.585 Å, c = 5.585 Å
α = 60.00°, β = 60.00°, γ = 60.00°
Atoms (fractional coordinates):
Ge: 0.250 0.250 0.250
Hg: 0.750 0.750 0.750
Rb: 0.000 0.000 0.000

Calculated volume   123 Å³/f.u.

---

Relative energies, kJ/mol of atoms: run 1 0.0; run 2 35.7.

---

Run 1
Below is a relaxed structure of RbHg3GeS4, with properties calculated at the PBE-GGA level.

a = 6.651 Å, b = 6.651 Å, c = 6.651 Å
α = 90.00°, β = 90.00°, γ = 90.00°
Atoms (fractional coordinates):
Ge: 0.500 0.500 0.500
Hg: 0.500 0.500 0.000
Hg: 0.500 0.000 0.500
Hg: 0.000 0.500 0.500
Rb: 0.000 0.000 0.000
S: 0.284 0.284 0.284
S: 0.716 0.716 0.284
S: 0.716 0.284 0.716
S: 0.284 0.716 0.716

Calculated volume   294 Å³/f.u.

---

Run 2
Below is a relaxed structure of RbHg3GeS4, with properties calculated at the PBE-GGA level.

a = 7.033 Å, b = 7.613 Å, c = 9.962 Å
α = 90.00°, β = 99.24°, γ = 90.00°
Atoms (fractional coordinates):
Ge: 0.480 0.250 0.218
Ge: 0.520 0.750 0.782
Hg: 0.726 0.556 0.009
Hg: 0.726 0.944 0.009
Hg: 0.965 0.250 0.244
Hg: 0.035 0.750 0.756
Hg: 0.274 0.056 0.991
Hg: 0.274 0.444 0.991
Rb: 0.315 0.750 0.377
Rb: 0.685 0.250 0.623
S: 0.107 0.750 0.027
S: 0.686 0.018 0.276
S: 0.686 0.482 0.276
S: 0.287 0.250 0.379
S: 0.713 0.750 0.621
S: 0.314 0.518 0.724
S: 0.314 0.982 0.724
S: 0.893 0.250 0.973

Calculated volume   263 Å³/f.u.

---

Relative energies, kJ/mol of atoms: run 1 10.6; run 2 0.0.

---

Run 1
Below is a relaxed structure of RbHg3GeTe4, with properties calculated at the PBE-GGA level.

a = 7.279 Å, b = 7.279 Å, c = 7.279 Å
α = 90.00°, β = 90.00°, γ = 90.00°
Atoms (fractional coordinates):
Ge: 0.000 0.000 0.000
Hg: 0.500 0.000 0.000
Hg: 0.000 0.500 0.000
Hg: 0.000 0.000 0.500
Rb: 0.500 0.500 0.500
Te: 0.780 0.220 0.220
Te: 0.220 0.780 0.220
Te: 0.220 0.220 0.780
Te: 0.780 0.780 0.780

Calculated volume   386 Å³/f.u.

---

Run 2
Below is a relaxed structure of RbHg3GeTe4, with properties calculated at the PBE-GGA level.

a = 7.173 Å, b = 8.327 Å, c = 11.497 Å
α = 90.00°, β = 92.58°, γ = 90.00°
Atoms (fractional coordinates):
Ge: 0.407 0.250 0.244
Ge: 0.593 0.750 0.756
Hg: 0.288 0.581 0.038
Hg: 0.288 0.919 0.038
Hg: 0.907 0.250 0.282
Hg: 0.093 0.750 0.718
Hg: 0.712 0.081 0.962
Hg: 0.712 0.419 0.962
Rb: 0.267 0.750 0.400
Rb: 0.733 0.250 0.600
Te: 0.143 0.250 0.069
Te: 0.628 0.505 0.230
Te: 0.628 0.995 0.230
Te: 0.227 0.250 0.441
Te: 0.773 0.750 0.559
Te: 0.372 0.005 0.770
Te: 0.372 0.495 0.770
Te: 0.857 0.750 0.931

Calculated volume   343 Å³/f.u.

---

Relative energies, kJ/mol of atoms: run 1 4.5; run 2 0.0.

---

Run 1
Below is a relaxed structure of TlHg3GeS4, with properties calculated at the PBE-GGA level.

a = 6.520 Å, b = 6.520 Å, c = 6.520 Å
α = 90.00°, β = 90.00°, γ = 90.00°
Atoms (fractional coordinates):
Ge: 0.500 0.500 0.500
Hg: 0.500 0.500 0.000
Hg: 0.500 0.000 0.500
Hg: 0.000 0.500 0.500
S: 0.275 0.275 0.275
S: 0.725 0.725 0.275
S: 0.725 0.275 0.725
S: 0.275 0.725 0.725
Tl: 0.000 0.000 0.000

Calculated volume   277 Å³/f.u.

---

Run 2
Below is a relaxed structure of TlHg3GeS4, with properties calculated at the PBE-GGA level.

a = 6.874 Å, b = 7.051 Å, c = 10.680 Å
α = 90.00°, β = 95.16°, γ = 90.00°
Atoms (fractional coordinates):
Ge: 0.467 0.250 0.220
Ge: 0.533 0.750 0.780
Hg: 0.751 0.554 0.024
Hg: 0.751 0.946 0.024
Hg: 0.958 0.250 0.324
Hg: 0.042 0.750 0.676
Hg: 0.249 0.054 0.976
Hg: 0.249 0.446 0.976
S: 0.181 0.750 0.088
S: 0.687 0.001 0.268
S: 0.687 0.499 0.268
S: 0.299 0.250 0.400
S: 0.701 0.750 0.600
S: 0.313 0.501 0.732
S: 0.313 0.999 0.732
S: 0.819 0.250 0.912
Tl: 0.358 0.750 0.368
Tl: 0.642 0.250 0.632

Calculated volume   258 Å³/f.u.

---

Relative energies, kJ/mol of atoms: run 1 8.7; run 2 0.0.

---

Run 1
Below is a relaxed structure of TlHg3GeSe4, with properties calculated at the PBE-GGA level.

a = 7.185 Å, b = 7.259 Å, c = 10.792 Å
α = 90.00°, β = 92.89°, γ = 90.00°
Atoms (fractional coordinates):
Ge: 0.457 0.250 0.209
Ge: 0.543 0.750 0.791
Hg: 0.762 0.556 0.015
Hg: 0.762 0.944 0.015
Hg: 0.941 0.250 0.317
Hg: 0.059 0.750 0.683
Hg: 0.238 0.056 0.985
Hg: 0.238 0.444 0.985
Se: 0.171 0.750 0.109
Se: 0.678 0.509 0.262
Se: 0.678 0.991 0.262
Se: 0.279 0.250 0.400
Se: 0.721 0.750 0.600
Se: 0.322 0.009 0.738
Se: 0.322 0.491 0.738
Se: 0.829 0.250 0.891
Tl: 0.352 0.750 0.384
Tl: 0.648 0.250 0.616

Calculated volume   281 Å³/f.u.

---

Run 2
Below is a relaxed structure of TlHg3GeSe4, with properties calculated at the PBE-GGA level.

a = 6.750 Å, b = 6.750 Å, c = 6.750 Å
α = 90.00°, β = 90.00°, γ = 90.00°
Atoms (fractional coordinates):
Ge: 0.500 0.500 0.500
Hg: 0.500 0.500 0.000
Hg: 0.500 0.000 0.500
Hg: 0.000 0.500 0.500
Se: 0.271 0.271 0.271
Se: 0.729 0.729 0.271
Se: 0.729 0.271 0.729
Se: 0.271 0.729 0.729
Tl: 0.000 0.000 0.000

Calculated volume   308 Å³/f.u.

---

Relative energies, kJ/mol of atoms: run 1 0.0; run 2 4.0.

---

Run 1
Below is a relaxed structure of ZnHgGeTe3, with properties calculated at the PBE-GGA level.

a = 11.256 Å, b = 7.741 Å, c = 7.741 Å
α = 149.58°, β = 90.00°, γ = 90.00°
Atoms (fractional coordinates):
Ge: 0.750 0.770 0.230
Ge: 0.250 0.230 0.770
Hg: 0.000 0.000 0.000
Hg: 0.500 0.000 0.000
Te: 0.250 0.921 0.079
Te: 0.079 0.660 0.340
Te: 0.421 0.660 0.340
Te: 0.579 0.340 0.660
Te: 0.921 0.340 0.660
Te: 0.750 0.079 0.921
Zn: 0.250 0.537 0.463
Zn: 0.750 0.463 0.537

Calculated volume   171 Å³/f.u.

---

Run 2
Below is a relaxed structure of ZnHgGeTe3, with properties calculated at the PBE-GGA level.

a = 4.040 Å, b = 7.246 Å, c = 12.678 Å
α = 90.00°, β = 90.00°, γ = 73.81°
Atoms (fractional coordinates):
Ge: 0.255 0.490 0.250
Ge: 0.745 0.510 0.750
Hg: 0.563 0.874 0.250
Hg: 0.437 0.126 0.750
Te: 0.632 0.736 0.048
Te: 0.889 0.223 0.250
Te: 0.632 0.736 0.452
Te: 0.368 0.264 0.548
Te: 0.111 0.777 0.750
Te: 0.368 0.264 0.952
Zn: 0.000 0.000 0.000
Zn: 0.000 0.000 0.500

Calculated volume   178 Å³/f.u.

---

Relative energies, kJ/mol of atoms: run 1 0.0; run 2 4.8.

---

Run 1
Below is a relaxed structure of HgGeW, with properties calculated at the PBE-GGA level.

a = 4.368 Å, b = 4.368 Å, c = 4.368 Å
α = 60.00°, β = 60.00°, γ = 60.00°
Atoms (fractional coordinates):
Ge: 0.000 0.000 0.000
Hg: 0.250 0.250 0.250
W: 0.750 0.750 0.750

Magnetization   0.0 Bohr magnetons per cell
Calculated volume   59 Å³/f.u.

---

Run 2
Below is a relaxed structure of HgGeW, with properties calculated at the PBE-GGA level.

a = 4.492 Å, b = 4.492 Å, c = 4.492 Å
α = 60.00°, β = 60.00°, γ = 60.00°
Atoms (fractional coordinates):
Ge: 0.250 0.250 0.250
Hg: 0.750 0.750 0.750
W: 0.000 0.000 0.000

Magnetization   1.6 Bohr magnetons per cell
Calculated volume   64 Å³/f.u.

---

Relative energies, kJ/mol of atoms: run 1 8.0; run 2 0.0.

---

Run 1
Below is a relaxed structure of PrHoGe2Ir, with properties calculated at the PBE-GGA level.

a = 5.839 Å, b = 5.839 Å, c = 10.568 Å
α = 115.38°, β = 115.38°, γ = 43.53°
Atoms (fractional coordinates):
Ge: 0.656 0.656 0.055
Ge: 0.520 0.520 0.388
Ge: 0.480 0.480 0.612
Ge: 0.344 0.344 0.945
Ho: 0.813 0.813 0.382
Ho: 0.187 0.187 0.618
Ir: 0.275 0.275 0.171
Ir: 0.725 0.725 0.829
Pr: 0.996 0.996 0.173
Pr: 0.004 0.004 0.827

Magnetization   0.0 Bohr magnetons per cell
Calculated volume   110 Å³/f.u.

---

Run 2
Below is a relaxed structure of PrHoGe2Ir, with properties calculated at the PBE-GGA level.

a = 5.780 Å, b = 5.780 Å, c = 10.483 Å
α = 114.79°, β = 114.79°, γ = 44.41°
Atoms (fractional coordinates):
Ge: 0.646 0.646 0.051
Ge: 0.514 0.514 0.378
Ge: 0.486 0.486 0.622
Ge: 0.354 0.354 0.949
Ho: 0.988 0.988 0.166
Ho: 0.012 0.012 0.834
Ir: 0.268 0.268 0.157
Ir: 0.732 0.732 0.843
Pr: 0.807 0.807 0.382
Pr: 0.193 0.193 0.618

Magnetization   0.0 Bohr magnetons per cell
Calculated volume   109 Å³/f.u.

---

Relative energies, kJ/mol of atoms: run 1 0.8; run 2 0.0.

---

Run 1
Below is a relaxed structure of KHoGeSe3, with properties calculated at the PBE-GGA level.

a = 7.704 Å, b = 7.704 Å, c = 11.262 Å
α = 90.00°, β = 90.00°, γ = 146.86°
Atoms (fractional coordinates):
Ge: 0.967 0.033 0.250
Ge: 0.033 0.967 0.750
Ho: 0.500 0.500 0.000
Ho: 0.500 0.500 0.500
K: 0.248 0.752 0.250
K: 0.752 0.248 0.750
Se: 0.875 0.125 0.046
Se: 0.568 0.432 0.250
Se: 0.875 0.125 0.454
Se: 0.125 0.875 0.546
Se: 0.432 0.568 0.750
Se: 0.125 0.875 0.954

Magnetization   0.0 Bohr magnetons per cell
Calculated volume   183 Å³/f.u.

---

Run 2
Below is a relaxed structure of KHoGeSe3, with properties calculated at the PBE-GGA level.

a = 8.607 Å, b = 4.039 Å, c = 11.052 Å
α = 90.00°, β = 108.78°, γ = 90.00°
Atoms (fractional coordinates):
Ge: 0.130 0.750 0.059
Ge: 0.870 0.250 0.941
Ho: 0.364 0.250 0.344
Ho: 0.636 0.750 0.656
K: 0.771 0.250 0.227
K: 0.229 0.750 0.773
Se: 0.336 0.250 0.076
Se: 0.110 0.750 0.279
Se: 0.607 0.750 0.394
Se: 0.393 0.250 0.606
Se: 0.890 0.250 0.721
Se: 0.664 0.750 0.924

Magnetization   0.0 Bohr magnetons per cell
Calculated volume   182 Å³/f.u.

---

Relative energies, kJ/mol of atoms: run 1 15.2; run 2 0.0.